1.
ErTlCdPb: optimized geometry, PBE.

Lattice parameters (Å, degrees): 7.583 7.583 7.583 90.00 90.00 90.00
Space group F-43m (No. 216)
Symmetry-distinct sites (fractional):
Er 0.000 0.000 0.000 [4 per cell]
Tl 0.250 0.250 0.250 [4 per cell]
Cd 0.000 0.000 0.500 [4 per cell]
Pb 0.250 0.250 0.750 [4 per cell]

Computed properties:
* formation energy: -8.9 kJ per mole of atoms
* energy above the most stable polymorph in this dataset: 0.1622 eV per atom



2.
Co2SnBr6: optimized geometry, PBE.

Lattice parameters (Å, degrees): 13.726 12.639 7.061 90.00 101.97 90.00
Space group C2/c (No. 15)
Symmetry-distinct sites (fractional):
Co 0.197 0.076 0.296 [8 per cell]
Sn 0.000 0.379 0.250 [4 per cell]
Br 0.125 0.412 0.651 [8 per cell]
Br 0.127 0.231 0.121 [8 per cell]
Br 0.139 0.073 0.596 [8 per cell]

Computed properties:
* energy relative to the elements, uncorrected: -0.43 eV per atom



3.
LaNi2: optimized geometry, PBE.

Lattice parameters (Å, degrees): 3.589 3.589 4.440 90.00 90.00 90.00
Space group P4/mmm (No. 123)
Symmetry-distinct sites (fractional):
La 0.000 0.000 0.000 [1 per cell]
Ni 0.000 0.500 0.500 [2 per cell]

Computed properties:
* formation energy: -5.2 kJ per mole of atoms



4.
BaCo3W: optimized geometry, PBE.

Lattice parameters (Å, degrees): 4.671 4.671 4.671 90.00 90.00 90.00
Space group Pm-3m (No. 221)
Symmetry-distinct sites (fractional):
Ba 0.000 0.000 0.000 [1 per cell]
Co 0.000 0.000 0.500 [3 per cell]
W 0.500 0.500 0.500 [1 per cell]

Computed properties:
* formation energy: 269.3 kJ per mole of atoms
* energy above the most stable polymorph in this dataset: 1.8380 eV per atom



5.
Ho3BiPN: optimized geometry, PBE.

Lattice parameters (Å, degrees): 8.770 4.031 9.197 90.00 103.10 90.00
Space group P2_1/m (No. 11)
Symmetry-distinct sites (fractional):
Ho 0.069 0.250 0.353 [2 per cell]
Ho 0.345 0.250 0.983 [2 per cell]
Ho 0.376 0.750 0.663 [2 per cell]
Bi 0.318 0.750 0.282 [2 per cell]
P 0.151 0.250 0.656 [2 per cell]
N 0.408 0.750 0.899 [2 per cell]

Computed properties:
* energy relative to the elements, uncorrected: -1.25 eV per atom



6.
Nd4Tl5In: optimized geometry, PBE.

Lattice parameters (Å, degrees): 7.767 10.512 7.869 90.00 90.00 90.00
Space group Pmmn (No. 59, origin choice 2)
Symmetry-distinct sites (fractional):
Nd 0.006 0.250 0.196 [4 per cell]
Nd 0.250 0.563 0.477 [4 per cell]
Tl 0.055 0.060 0.820 [8 per cell]
Tl 0.250 0.750 0.118 [2 per cell]
In 0.250 0.250 0.537 [2 per cell]

Computed properties:
* formation energy: -9.1 kJ per mole of atoms
* energy above the most stable polymorph in this dataset: 0.2610 eV per atom



7.
TiNbNi2Se: optimized geometry, PBE.

Lattice parameters (Å, degrees): 4.355 4.355 4.842 90.00 90.00 90.00
Space group P4/mmm (No. 123)
Symmetry-distinct sites (fractional):
Ti 0.000 0.000 0.000 [1 per cell]
Nb 0.000 0.000 0.500 [1 per cell]
Ni 0.000 0.500 0.000 [2 per cell]
Se 0.500 0.500 0.500 [1 per cell]

Computed properties:
* energy relative to the elements, uncorrected: 1.04 eV per atom



8.
NbGaNi5: optimized geometry, PBE.

Lattice parameters (Å, degrees): 5.901 6.908 8.894 90.00 106.53 90.00
Space group C2/c (No. 15)
Symmetry-distinct sites (fractional):
Nb 0.000 0.198 0.250 [4 per cell]
Ga 0.250 0.250 0.000 [4 per cell]
Ni 0.000 0.164 0.750 [4 per cell]
Ni 0.104 0.476 0.645 [8 per cell]
Ni 0.183 0.098 0.550 [8 per cell]

Computed properties:
* formation energy: -19.9 kJ per mole of atoms
* energy above the most stable polymorph in this dataset: 0.0000 eV per atom



9.
TaAl2Pd9: optimized geometry, PBE.

Lattice parameters (Å, degrees): 3.935 3.935 11.739 90.00 90.00 90.00
Space group P4/mmm (No. 123)
Symmetry-distinct sites (fractional):
Ta 0.000 0.000 0.000 [1 per cell]
Al 0.000 0.000 0.341 [2 per cell]
Pd 0.000 0.500 0.166 [4 per cell]
Pd 0.000 0.500 0.500 [2 per cell]
Pd 0.500 0.500 0.000 [1 per cell]
Pd 0.500 0.500 0.333 [2 per cell]

Computed properties:
* formation energy: -58.7 kJ per mole of atoms



10.
AcAlInAu6: optimized geometry, PBE.

Lattice parameters (Å, degrees): 7.609 9.779 10.913 90.00 90.00 90.00
Space group Imma (No. 74)
Symmetry-distinct sites (fractional):
Ac 0.000 0.250 0.224 [4 per cell]
Al 0.000 0.000 0.000 [4 per cell]
In 0.250 0.250 0.750 [4 per cell]
Au 0.000 0.250 0.531 [4 per cell]
Au 0.000 0.250 0.936 [4 per cell]
Au 0.202 0.014 0.374 [16 per cell]

Computed properties:
* formation energy: -28.7 kJ per mole of atoms



11.
TcP2Au: optimized geometry, PBE.

Lattice parameters (Å, degrees): 3.233 4.589 4.275 90.00 98.91 90.00
Space group Pm (No. 6)
Symmetry-distinct sites (fractional):
Tc 0.000 0.000 0.000 [1 per cell]
P 0.083 0.500 0.170 [1 per cell]
P 0.611 0.000 0.423 [1 per cell]
Au 0.507 0.500 0.700 [1 per cell]

Computed properties:
* formation energy: 6.7 kJ per mole of atoms
* energy above the most stable polymorph in this dataset: 0.2223 eV per atom



12.
Ta4AlGa2: optimized geometry, PBE.

Lattice parameters (Å, degrees): 7.879 7.879 7.851 90.00 90.00 90.00
Space group I-42d (No. 122)
Symmetry-distinct sites (fractional):
Ta 0.075 0.672 0.450 [16 per cell]
Al 0.000 0.000 0.500 [4 per cell]
Ga 0.127 0.750 0.125 [8 per cell]

Computed properties:
* formation energy: -5.8 kJ per mole of atoms



13.
Bi3Te5Se12: optimized geometry, PBE.

Lattice parameters (Å, degrees): 17.236 17.236 17.236 90.00 90.00 90.00
Space group Ia-3d (No. 230)
Symmetry-distinct sites (fractional):
Bi 0.000 0.250 0.125 [24 per cell]
Te 0.000 0.000 0.000 [16 per cell]
Te 0.000 0.250 0.375 [24 per cell]
Se 0.013 0.067 0.654 [96 per cell]

Computed properties:
* energy relative to the elements, uncorrected: 0.08 eV per atom



14.
DyHoZn10: optimized geometry, PBE.

Lattice parameters (Å, degrees): 4.211 5.311 9.149 90.00 90.00 90.00
Space group Pmmm (No. 47)
Symmetry-distinct sites (fractional):
Dy 0.000 0.000 0.000 [1 per cell]
Ho 0.000 0.500 0.500 [1 per cell]
Zn 0.000 0.000 0.335 [2 per cell]
Zn 0.000 0.500 0.167 [2 per cell]
Zn 0.500 0.000 0.500 [1 per cell]
Zn 0.500 0.250 0.250 [4 per cell]
Zn 0.500 0.500 0.000 [1 per cell]

Computed properties:
* formation energy: -26.4 kJ per mole of atoms



15.
BaMgZr2Re: optimized geometry, PBE.

Lattice parameters (Å, degrees): 5.167 5.167 5.961 90.00 90.00 90.00
Space group P4/mmm (No. 123)
Symmetry-distinct sites (fractional):
Ba 0.000 0.000 0.000 [1 per cell]
Mg 0.500 0.500 0.000 [1 per cell]
Zr 0.000 0.500 0.500 [2 per cell]
Re 0.000 0.000 0.500 [1 per cell]

Computed properties:
* formation energy: 71.1 kJ per mole of atoms



16.
MgTcI3: optimized geometry, PBE.

Lattice parameters (Å, degrees): 5.562 5.562 5.562 90.00 90.00 90.00
Space group Pm-3m (No. 221)
Symmetry-distinct sites (fractional):
Mg 0.000 0.000 0.000 [1 per cell]
Tc 0.500 0.500 0.500 [1 per cell]
I 0.000 0.500 0.500 [3 per cell]

Computed properties:
* energy relative to the elements, uncorrected: 0.29 eV per atom
* energy above the most stable polymorph in this dataset: 0.0000 eV per atom



17.
RbLi2TlSn: optimized geometry, PBE.

Lattice parameters (Å, degrees): 5.454 5.454 5.934 90.00 90.00 90.00
Space group P4/mmm (No. 123)
Symmetry-distinct sites (fractional):
Rb 0.000 0.000 0.000 [1 per cell]
Li 0.000 0.500 0.500 [2 per cell]
Tl 0.500 0.500 0.000 [1 per cell]
Sn 0.500 0.500 0.500 [1 per cell]

Computed properties:
* formation energy: -9.8 kJ per mole of atoms



18.
Pu3Ga8Rh3: optimized geometry, PBE.

Lattice parameters (Å, degrees): 15.700 4.487 8.621 90.00 122.20 90.00
Space group C2/m (No. 12)
Symmetry-distinct sites (fractional):
Pu 0.000 0.000 0.000 [2 per cell]
Pu 0.215 0.500 0.703 [4 per cell]
Ga 0.006 0.500 0.676 [4 per cell]
Ga 0.139 0.000 0.429 [4 per cell]
Ga 0.140 0.000 0.842 [4 per cell]
Ga 0.151 0.500 0.273 [4 per cell]
Rh 0.000 0.000 0.500 [2 per cell]
Rh 0.168 0.500 0.001 [4 per cell]

Computed properties:
* formation energy: -51.1 kJ per mole of atoms



19.
MoRh4Se: optimized geometry, PBE.

Lattice parameters (Å, degrees): 7.251 7.251 7.251 90.00 90.00 90.00
Space group F-43m (No. 216)
Symmetry-distinct sites (fractional):
Mo 0.000 0.000 0.000 [4 per cell]
Rh 0.126 0.126 0.626 [16 per cell]
Se 0.250 0.250 0.250 [4 per cell]

Computed properties:
* energy relative to the elements, uncorrected: 0.48 eV per atom



20.
BeCo2Os: optimized geometry, PBE.

Lattice parameters (Å, degrees): 4.911 7.120 2.554 90.00 90.00 90.00
Space group Cmmm (No. 65)
Symmetry-distinct sites (fractional):
Be 0.000 0.000 0.000 [2 per cell]
Co 0.250 0.250 0.500 [4 per cell]
Os 0.000 0.500 0.000 [2 per cell]

Computed properties:
* formation energy: 5.7 kJ per mole of atoms



| no. | total moment (μB per formula unit) |
| --- | --- |
| 1 | 0.00 |
| 2 | 6.00 |
| 3 | 0.00 |
| 4 | 5.38 |
| 5 | 0.00 |
| 6 | 0.00 |
| 7 | 0.00 |
| 8 | 0.00 |
| 9 | 0.00 |
| 10 | 0.00 |
| 11 | 0.00 |
| 12 | 0.00 |
| 13 | 0.00 |
| 14 | 0.00 |
| 15 | 0.00 |
| 16 | 2.60 |
| 17 | 0.00 |
| 18 | 4.95 |
| 19 | 0.00 |
| 20 | 0.13 |